# 1
Entry from Alexandria via LeMat-Bulk: a relaxed ErMnFe crystal (GGA-PBEsol).

```
ErMnFe
1.0
-2.396 2.533 3.604
2.396 -2.533 3.604
2.396 2.533 -3.604
Er Mn Fe
2 2 2
direct
0.373 0.123 0.250
0.627 0.877 0.750
0.000 0.000 0.500
0.000 0.500 0.000
0.000 0.500 0.500
0.500 0.500 0.000
```

Calculated values
Its total energy is -47.34 eV/cell. Its space group is Imma, No. 74.

---

# 2
Entry from Alexandria via LeMat-Bulk: a relaxed ErMnFeO4 crystal (GGA-PBEsol).

```
ErMnFeO4
1.0
1.743 1.006 7.964
-1.743 1.006 7.964
0.000 -2.012 7.964
Er Mn Fe O
1 1 1 4
direct
0.000 0.000 0.000
0.786 0.786 0.786
0.210 0.210 0.210
0.120 0.120 0.120
0.292 0.292 0.292
0.708 0.708 0.708
0.867 0.867 0.867
```

Calculated values
Its space group is R3m, No. 160. The calculation puts the uncorrected formation energy at -14.76 eV per formula unit.

---

# 3
Entry from Alexandria via LeMat-Bulk: a relaxed ErFeNi4 crystal (GGA-PBEsol).

```
ErFeNi4
1.0
4.827 0.000 0.000
-2.414 4.180 0.000
0.000 0.000 3.880
Er Fe Ni
1 1 4
direct
0.000 0.000 0.000
0.333 0.667 0.000
0.500 0.001 0.500
0.500 0.500 0.500
0.667 0.333 0.000
0.999 0.500 0.500
```

Calculated values
Its total energy is -40.03 eV/cell. Its space group is P-6m2, No. 187.

---

# 4
Entry from Alexandria via LeMat-Bulk: a relaxed ErFeO3 crystal (GGA-PBEsol).

```
ErFeO3
1.0
5.480 0.000 0.000
0.000 7.236 0.000
0.000 0.000 5.000
Er Fe O
4 4 12
direct
0.080 0.250 0.026
0.420 0.750 0.526
0.580 0.250 0.474
0.920 0.750 0.974
0.000 0.000 0.500
0.000 0.500 0.500
0.500 0.000 0.000
0.500 0.500 0.000
0.031 0.750 0.395
0.196 0.551 0.814
0.196 0.949 0.814
0.304 0.051 0.314
0.304 0.449 0.314
0.469 0.250 0.895
0.531 0.750 0.105
0.696 0.551 0.686
0.696 0.949 0.686
0.804 0.051 0.186
0.804 0.449 0.186
0.969 0.250 0.605
```

Calculated values
Its space group is Pnma, No. 62. The calculation puts the uncorrected formation energy at -12.38 eV per formula unit.

---

# 5
Entry from Alexandria via LeMat-Bulk: a relaxed Er3Fe2Si3 crystal (GGA-PBEsol).

```
Er3Fe2Si3
1.0
2.009 -5.125 0.000
2.009 5.125 0.000
0.000 0.000 13.312
Er Fe Si
6 4 6
direct
0.081 0.919 0.612
0.081 0.919 0.888
0.366 0.634 0.750
0.634 0.366 0.250
0.919 0.081 0.112
0.919 0.081 0.388
0.215 0.785 0.081
0.215 0.785 0.419
0.785 0.215 0.581
0.785 0.215 0.919
0.323 0.677 0.250
0.377 0.623 0.540
0.377 0.623 0.960
0.623 0.377 0.040
0.623 0.377 0.460
0.677 0.323 0.750
```

Calculated values
Its space group is Cmcm, No. 63. The calculation puts the uncorrected formation energy at -5.99 eV per formula unit.

---

# 6
Entry from Alexandria via LeMat-Bulk: a relaxed Er2Fe3Si5 crystal (GGA-PBEsol).

```
Er2Fe3Si5
1.0
10.212 0.000 0.000
0.000 10.212 0.000
0.000 0.000 5.369
Er Fe Si
8 12 20
direct
0.069 0.236 0.000
0.236 0.931 0.000
0.264 0.431 0.500
0.431 0.736 0.500
0.569 0.264 0.500
0.736 0.569 0.500
0.764 0.069 0.000
0.931 0.764 0.000
0.000 0.500 0.250
0.000 0.500 0.750
0.123 0.856 0.500
0.144 0.123 0.500
0.356 0.623 0.000
0.377 0.356 0.000
0.500 0.000 0.250
0.500 0.000 0.750
0.623 0.644 0.000
0.644 0.377 0.000
0.856 0.877 0.500
0.877 0.144 0.500
0.000 0.000 0.263
0.000 0.000 0.737
0.023 0.319 0.500
0.178 0.678 0.250
0.178 0.678 0.750
0.181 0.477 0.000
0.319 0.977 0.500
0.322 0.178 0.250
0.322 0.178 0.750
0.477 0.819 0.000
0.500 0.500 0.237
0.500 0.500 0.763
0.523 0.181 0.000
0.678 0.822 0.250
0.678 0.822 0.750
0.681 0.023 0.500
0.819 0.523 0.000
0.822 0.322 0.250
0.822 0.322 0.750
0.977 0.681 0.500
```

Calculated values
Its space group is P4/mnc, No. 128. The calculation puts the uncorrected formation energy at -8.02 eV per formula unit.

---

# 7
Entry from Alexandria via LeMat-Bulk: a relaxed ErFe10Si2 crystal (GGA-PBEsol).

```
ErFe10Si2
1.0
-2.317 4.068 4.096
2.317 -4.068 4.096
2.317 4.068 -4.096
Er Fe Si
1 10 2
direct
0.000 0.000 0.000
0.000 0.000 0.500
0.000 0.500 0.000
0.211 0.500 0.711
0.355 0.000 0.355
0.362 0.362 0.000
0.500 0.000 0.000
0.500 0.500 0.500
0.638 0.638 0.000
0.645 0.000 0.645
0.789 0.500 0.289
0.234 0.734 0.500
0.766 0.266 0.500
```

Calculated values
Its space group is Immm, No. 71. The calculation puts the uncorrected formation energy at -3.52 eV per formula unit.

---

# 8
Entry from Alexandria via LeMat-Bulk: a relaxed Er2Fe14Si3 crystal (GGA-PBEsol).

```
Er2Fe14Si3
1.0
8.135 0.000 0.000
-4.068 7.045 0.000
0.000 0.000 8.067
Er Fe Si
4 28 6
direct
0.000 0.000 0.250
0.000 0.000 0.750
0.333 0.667 0.250
0.667 0.333 0.750
0.032 0.361 0.750
0.032 0.671 0.750
0.166 0.332 0.015
0.166 0.332 0.485
0.166 0.834 0.015
0.166 0.834 0.485
0.329 0.361 0.750
0.329 0.968 0.750
0.332 0.166 0.515
0.332 0.166 0.985
0.333 0.667 0.610
0.333 0.667 0.890
0.361 0.032 0.250
0.361 0.329 0.250
0.639 0.671 0.750
0.639 0.968 0.750
0.667 0.333 0.110
0.667 0.333 0.390
0.668 0.834 0.015
0.668 0.834 0.485
0.671 0.032 0.250
0.671 0.639 0.250
0.834 0.166 0.515
0.834 0.166 0.985
0.834 0.668 0.515
0.834 0.668 0.985
0.968 0.329 0.250
0.968 0.639 0.250
0.000 0.500 0.000
0.000 0.500 0.500
0.500 0.000 0.000
0.500 0.000 0.500
0.500 0.500 0.000
0.500 0.500 0.500
```

Calculated values
Its space group is P6_3/mmc, No. 194. The calculation puts the uncorrected formation energy at -5.71 eV per formula unit.

---

| no. | M_tot (μB per atom) | calculated volume (A^3/atom) |
| --- | --- | --- |
| 1 | 0.662 | 14.58 |
| 2 | 1.152 | 11.97 |
| 3 | 0.649 | 13.05 |
| 4 | 0.197 | 9.91 |
| 5 | 0.000 | 17.13 |
| 6 | 0.000 | 14.00 |
| 7 | 1.428 | 11.88 |
| 8 | 1.246 | 12.17 |